# GGA-PBE NpAgO3, optimized geometry
data_NpAgO3
_space_group_name_H-M_alt 'I m m a'
_space_group_IT_number 74
_space_group_name_Hall '-I 2b 2'
_cell_length_a 6.068
_cell_length_b 8.242
_cell_length_c 5.768
_cell_angle_alpha 90.00
_cell_angle_beta 90.00
_cell_angle_gamma 90.00
loop_
_atom_site_label
_atom_site_type_symbol
_atom_site_fract_x
_atom_site_fract_y
_atom_site_fract_z
Np1 Np 0.000 0.000 0.000
Ag1 Ag 0.000 0.250 0.485
O1 O 0.000 0.250 0.887
O2 O 0.250 0.059 0.250
# - E: -8.1803 eV/atom
# - Spin magnetization: 2.000 μB/f.u.
# - Raw formation energy: -2047 meV per atom